! BaAlGeF GGA-PBEsol relaxed; values from VASP
! - space-group type = No. 129
! - energy relative to the elements, uncorrected (eV per atom) = -1.722
! - theoretical density (g/cm3) = 4.89
&SYSTEM
  ibrav = 0, nat = 8, ntyp = 4
/
ATOMIC_SPECIES
F 19.00 F.upf
Ge 72.64 Ge.upf
Ba 137.33 Ba.upf
Al 26.98 Al.upf
CELL_PARAMETERS angstrom
4.217 0.000 0.000
0.000 4.217 0.000
0.000 0.000 9.765
ATOMIC_POSITIONS crystal
F 0.000 0.000 0.000
F 0.500 0.500 0.000
Ge 0.500 0.000 0.658
Ge 0.000 0.500 0.342
Ba 0.000 0.500 0.840
Ba 0.500 0.000 0.160
Al 0.000 0.000 0.500
Al 0.500 0.500 0.500